{"formula": "IrClF3", "functional": "PBE-GGA", "state": "relaxed", "volume_a3_per_cell": 82.2, "spacegroup": "Pm-3m (221)", "formation_energy_uncorrected_ev_per_atom": 0.825, "relative_energy_ev_per_atom": 1.867, "lattice": [[-0.4272, -2.6152, -3.4470], [0.1883, -3.4718, 2.6107], [-4.3227, 0.1072, 0.4544]], "species": ["F", "F", "F", "Ir", "Cl"], "frac_coords": [[0.0000, 0.5000, 0.0000], [0.0000, 0.0000, 0.5000], [0.5000, 0.0000, 0.0000], [0.5000, 0.5000, 0.5000], [0.0000, 0.0000, 0.0000]]}